1.
Computed, not measured: crystalline NaCoP2O at its relaxed geometry at the GGA-PBEsol level of DFT.

Unit cell a=4.1895 b=4.1895 c=4.2969 alpha=90.00 beta=90.00 gamma=90.00
Sites, in units of the cell vectors:
P 0.0000 0.5000 0.0000
P 0.5000 0.0000 0.0000
O 0.0000 0.0000 0.5000
Na 0.5000 0.5000 0.5000
Co 0.0000 0.0000 0.0000

Results
For the size of the total moment, the calculation gives 0.000 μB per atom. The total energy is -5.097 eV per atom. Its space-group type is P4/mmm (123). For the uncorrected formation energy, the calculation gives 0.097 eV per atom.

***

2.
Computed, not measured: crystalline Na2CoP2O7 at its relaxed geometry at the GGA-PBEsol level of DFT.

Unit cell a=5.2084 b=6.4946 c=9.2898 alpha=110.56 beta=95.94 gamma=104.27
Sites, in units of the cell vectors:
O 0.1035 0.9063 0.3401
O 0.0624 0.3097 0.4235
O 0.4846 0.7554 0.4944
O 0.2724 0.5311 0.7884
O 0.5154 0.2446 0.5056
O 0.7531 0.5009 0.8289
O 0.8965 0.0937 0.6599
O 0.3729 0.1853 0.9662
O 0.9376 0.6903 0.5765
O 0.2469 0.4991 0.1711
O 0.6721 0.8451 0.7813
O 0.6271 0.8147 0.0338
O 0.3279 0.1549 0.2187
O 0.7276 0.4689 0.2116
P 0.4300 0.3404 0.1383
P 0.2552 0.1604 0.3847
P 0.7448 0.8396 0.6153
P 0.5700 0.6596 0.8617
Co 0.0900 0.6000 0.3718
Co 0.9100 0.4000 0.6282
Na 0.8626 0.2416 0.9604
Na 0.6467 0.8653 0.2894
Na 0.3533 0.1347 0.7106
Na 0.1374 0.7584 0.0396

Results
The value obtained for the offset from the most stable computed form is 19 meV/atom. For the size of the total moment, the calculation gives 0.250 μB per atom. The total energy is -6.864 eV per atom. Its space-group type is P-1 (2). For the uncorrected formation energy, the calculation gives -1.958 eV per atom.

***

3.
Computed, not measured: crystalline Na2CoP2O7 at its relaxed geometry at the GGA-PBEsol level of DFT.

Unit cell a=5.0684 b=7.7605 c=7.7605 alpha=90.00 beta=90.00 gamma=90.00
Sites, in units of the cell vectors:
O 0.7923 0.3067 0.4197
O 0.7923 0.6933 0.5803
O 0.2077 0.5803 0.3067
O 0.7731 0.3601 0.8601
O 0.2077 0.4197 0.6933
O 0.2077 0.8067 0.0803
O 0.7923 0.9197 0.8067
O 0.8171 0.0000 0.5000
O 0.2269 0.8601 0.6399
O 0.2269 0.1399 0.3601
O 0.7731 0.6399 0.1399
O 0.7923 0.0803 0.1933
O 0.1829 0.5000 0.0000
O 0.2077 0.1933 0.9197
P 0.0695 0.6393 0.1393
P 0.9305 0.8607 0.6393
P 0.9305 0.1393 0.3607
P 0.0695 0.3607 0.8607
Co 0.0000 0.5000 0.5000
Co 0.0000 0.0000 0.0000
Na 0.5066 0.6680 0.8320
Na 0.5066 0.3320 0.1680
Na 0.4934 0.8320 0.3320
Na 0.4934 0.1680 0.6680

Results
The value obtained for the offset from the most stable computed form is 7 meV/atom. For the size of the total moment, the calculation gives 0.250 μB per atom. The total energy is -6.875 eV per atom. Its space-group type is P-42_1m (113). For the uncorrected formation energy, the calculation gives -1.970 eV per atom.

***

4.
Computed, not measured: crystalline Rb2Na4Co2O5 at its relaxed geometry at the GGA-PBEsol level of DFT.

Unit cell a=6.4189 b=6.4189 c=10.0946 alpha=90.00 beta=90.00 gamma=90.00
Sites, in units of the cell vectors:
Co 0.2903 0.2903 0.5000
Co 0.2097 0.7903 0.0000
Co 0.7903 0.2097 0.0000
Co 0.7097 0.7097 0.5000
Na 0.5000 0.5000 0.2771
Na 0.0000 0.5000 0.7500
Na 0.0000 0.0000 0.2229
Na 0.5000 0.5000 0.7229
Na 0.5000 0.0000 0.2500
Na 0.0000 0.5000 0.2500
Na 0.0000 0.0000 0.7771
Na 0.5000 0.0000 0.7500
O 0.7216 0.2784 0.8342
O 0.7784 0.7784 0.6658
O 0.2784 0.7216 0.8342
O 0.7784 0.7784 0.3342
O 0.2784 0.7216 0.1658
O 0.2216 0.2216 0.3342
O 0.2216 0.2216 0.6658
O 0.7216 0.2784 0.1658
O 0.5000 0.5000 0.5000
O 0.0000 0.0000 0.0000
Rb 0.1965 0.8035 0.5000
Rb 0.8035 0.1965 0.5000
Rb 0.6965 0.6965 0.0000
Rb 0.3035 0.3035 0.0000

Results
For the size of the total moment, the calculation gives 0.462 μB per atom. The total energy is -4.930 eV per atom. Its space-group type is P4_2/mnm (136). For the uncorrected formation energy, the calculation gives -1.132 eV per atom.

***

5.
Computed, not measured: crystalline Na3Co2SbO6 at its relaxed geometry at the GGA-PBEsol level of DFT.

Unit cell a=5.2725 b=5.2725 c=5.6319 alpha=99.22 beta=99.22 gamma=118.45
Sites, in units of the cell vectors:
Na 0.8233 0.1767 0.0000
Na 0.5000 0.5000 0.0000
Na 0.1767 0.8233 0.0000
O 0.6132 0.9345 0.2956
O 0.0655 0.3868 0.7044
O 0.9345 0.6132 0.2956
O 0.3868 0.0655 0.7044
O 0.7542 0.7542 0.7096
O 0.2458 0.2458 0.2904
Co 0.6582 0.3418 0.5000
Co 0.3418 0.6582 0.5000
Sb 0.0000 0.0000 0.5000

Results
For the size of the total moment, the calculation gives 0.500 μB per atom. The total energy is -5.969 eV per atom. Its space-group type is C2/m (12). For the uncorrected formation energy, the calculation gives -1.325 eV per atom.

***

6.
Computed, not measured: crystalline Na2SrV2CoO8 at its relaxed geometry at the GGA-PBEsol level of DFT.

Unit cell a=5.4353 b=9.4679 c=13.5178 alpha=89.74 beta=90.00 gamma=90.00
Sites, in units of the cell vectors:
V 0.4706 0.1824 0.6346
V 0.5294 0.8176 0.3654
V 0.0158 0.3481 0.8653
V 0.0294 0.6824 0.6346
V 0.9706 0.3176 0.3654
V 0.9842 0.6519 0.1347
V 0.4842 0.8481 0.8653
V 0.5158 0.1519 0.1347
Co 0.5000 0.5000 0.0000
Co 0.0000 0.0000 0.5000
Co 0.0000 0.0000 0.0000
Co 0.5000 0.5000 0.5000
O 0.4720 0.1320 0.7549
O 0.9899 0.1366 0.3851
O 0.7940 0.5955 0.5746
O 0.4910 0.6880 0.9264
O 0.7014 0.9552 0.9198
O 0.7986 0.4552 0.9198
O 0.9389 0.3140 0.7462
O 0.2026 0.1260 0.5803
O 0.2974 0.6260 0.5803
O 0.9910 0.8120 0.0736
O 0.2060 0.4045 0.4254
O 0.1920 0.9170 0.8840
O 0.8080 0.0830 0.1160
O 0.5280 0.8680 0.2451
O 0.5090 0.3120 0.0736
O 0.2940 0.9045 0.4254
O 0.2014 0.5448 0.0802
O 0.4389 0.1860 0.2538
O 0.7974 0.8740 0.4197
O 0.0280 0.6320 0.7549
O 0.7060 0.0955 0.5746
O 0.2986 0.0448 0.0802
O 0.7026 0.3740 0.4197
O 0.5101 0.6366 0.3851
O 0.5611 0.8140 0.7462
O 0.0611 0.6860 0.2538
O 0.9720 0.3680 0.2451
O 0.0090 0.1880 0.9264
O 0.0101 0.8634 0.6149
O 0.4899 0.3634 0.6149
O 0.6920 0.5830 0.1160
O 0.3080 0.4170 0.8840
Na 0.5197 0.8515 0.5819
Na 0.0197 0.6485 0.4181
Na 0.9767 0.3210 0.0816
Na 0.0233 0.6790 0.9184
Na 0.4767 0.1790 0.9184
Na 0.5233 0.8210 0.0816
Na 0.9803 0.3515 0.5819
Na 0.4803 0.1485 0.4181
Sr 0.0556 0.9613 0.2488
Sr 0.5556 0.5387 0.7512
Sr 0.4444 0.4613 0.2488
Sr 0.9444 0.0387 0.7512

Results
For the size of the total moment, the calculation gives 0.214 μB per atom. The total energy is -7.483 eV per atom. Its space-group type is P2_1/c (14). For the uncorrected formation energy, the calculation gives -2.223 eV per atom.

***

7.
Computed, not measured: crystalline Na2CoP2 at its relaxed geometry at the GGA-PBEsol level of DFT.

Unit cell a=4.8064 b=5.7100 c=5.7100 alpha=90.00 beta=90.00 gamma=90.00
Sites, in units of the cell vectors:
Co 0.0000 0.0000 0.0000
Co 0.0000 0.5000 0.5000
P 0.0000 0.3605 0.8605
P 0.0000 0.1395 0.3605
P 0.0000 0.6395 0.1395
P 0.0000 0.8605 0.6395
Na 0.5000 0.1798 0.6798
Na 0.5000 0.3202 0.1798
Na 0.5000 0.6798 0.8202
Na 0.5000 0.8202 0.3202

Results
For the size of the total moment, the calculation gives 0.000 μB per atom. The total energy is -4.846 eV per atom. Its space-group type is P4/mbm (127). As for the energy of formation from the pure elements: -421.7 meV/atom.

***

8.
Computed, not measured: crystalline Na2SrCoPb at its relaxed geometry at the GGA-PBEsol level of DFT.

Unit cell a=4.9892 b=5.2756 c=5.2756 alpha=90.00 beta=90.00 gamma=90.00
Sites, in units of the cell vectors:
Pb 0.5000 0.0000 0.0000
Co 0.0000 0.0000 0.0000
Na 0.0000 0.5000 0.0000
Na 0.0000 0.0000 0.5000
Sr 0.5000 0.5000 0.5000

Results
For the size of the total moment, the calculation gives 0.108 μB per atom. The total energy is -3.014 eV per atom. Its space-group type is P4/mmm (123). As for the energy of formation from the pure elements: 260.8 meV/atom.